Record 1
! Na2B3C (PBE-GGA, relaxed); values from VASP
! - formation energy (meV per atom) = 164.2
! - size of the total moment (Bohr magnetons per cell) = 0.00
! - final energy (eV per cell) = -154.5
! - polymorph energy (0 for the lowest one) (meV per atom) = 31
&SYSTEM
  ibrav = 0, nat = 30, ntyp = 3
/
ATOMIC_SPECIES
B 10.81 B.upf
Na 22.99 Na.upf
C 12.01 C.upf
ATOMIC_POSITIONS angstrom
B 11.213 1.564 5.103
B 8.239 1.150 3.067
Na 8.482 1.183 5.873
B 4.399 0.614 5.616
C 5.787 0.807 6.567
B 6.899 0.963 2.152
C 10.737 1.498 -0.416
B 12.615 1.760 6.061
Na 19.909 2.778 -1.910
Na 6.645 0.927 -0.683
Na 17.486 2.440 1.657
B 0.291 0.041 2.791
Na 10.903 1.521 2.290
B 17.597 2.455 4.304
Na 1.881 0.262 6.452
B 9.389 1.310 -1.336
B 3.868 0.540 0.054
C 1.663 0.232 3.731
B 13.473 1.880 1.473
Na 4.234 0.591 2.922
C 2.095 0.292 9.207
Na 0.010 0.001 0.033
B 20.195 2.818 0.906
C 14.849 2.072 2.426
B 19.648 2.741 -4.662
Na 13.246 1.848 -1.233
Na 15.135 2.112 5.152
B 21.570 3.009 1.850
B 15.832 2.209 -2.107
B 17.164 2.395 -1.185
CELL_PARAMETERS angstrom
11.328 0.144 -2.729
10.935 2.962 -2.729
-0.507 -0.071 10.020

***

Record 2
! Na5B8C2 (PBE-GGA, relaxed); values from VASP
! - formation energy (meV per atom) = 177.0
! - size of the total moment (Bohr magnetons per cell) = 0.00
! - final energy (eV per cell) = -151.6
! - polymorph energy (0 for the lowest one) (meV per atom) = 7
&SYSTEM
  ibrav = 0, nat = 30, ntyp = 3
/
ATOMIC_SPECIES
B 10.81 B.upf
Na 22.99 Na.upf
C 12.01 C.upf
ATOMIC_POSITIONS angstrom
B -1.541 -1.494 3.365
B -17.278 2.641 6.632
B -14.507 2.874 4.516
B -18.975 7.989 -0.876
B -9.048 3.353 0.315
Na -10.615 1.843 3.722
Na -0.020 0.002 0.010
B -6.650 0.813 2.880
B -20.968 5.072 5.055
C -2.301 -4.313 8.365
Na -6.441 2.219 0.494
Na -14.798 1.470 6.951
Na -12.842 4.389 1.040
B -0.176 -1.378 2.320
B -7.969 0.701 3.888
Na -1.938 -2.918 5.898
B -12.438 0.310 7.326
Na -19.288 6.599 1.550
C -10.300 3.251 1.266
B -13.195 2.993 3.501
Na -4.155 -0.359 3.190
B -16.555 5.458 1.661
C -5.846 -1.879 6.691
B -4.621 -1.774 5.752
B -3.899 1.040 0.784
B -19.636 5.190 4.029
C -15.319 5.562 0.717
B -11.044 0.427 6.263
Na -17.053 4.047 4.238
Na -8.380 -0.714 6.416
CELL_PARAMETERS angstrom
-10.324 5.706 0.155
-11.215 3.434 -1.262
0.311 -5.456 8.553

***

Record 3
! Na2B3C (PBE-GGA, relaxed); values from VASP
! - formation energy (meV per atom) = 170.7
! - size of the total moment (Bohr magnetons per cell) = 0.00
! - final energy (eV per cell) = -123.5
! - polymorph energy (0 for the lowest one) (meV per atom) = 37
&SYSTEM
  ibrav = 0, nat = 24, ntyp = 3
/
ATOMIC_SPECIES
Na 22.99 Na.upf
B 10.81 B.upf
C 12.01 C.upf
ATOMIC_POSITIONS angstrom
Na -19.002 -18.523 -21.790
B -1.283 -2.348 -0.246
B -8.342 -9.291 -8.469
Na -11.897 -11.595 -13.638
C -6.096 -6.996 -5.676
C -8.550 -5.784 -4.569
B -11.939 -10.411 -11.172
Na -2.381 -2.321 -2.730
B -2.597 -1.143 -0.126
Na -9.496 -9.256 -10.888
C -3.774 -1.135 0.895
Na -4.777 -4.655 -5.475
B -4.913 -3.490 -2.966
Na -14.288 -13.922 -16.373
B -7.233 -5.791 -5.707
B 1.001 -0.024 2.574
B -9.657 -8.087 -8.350
Na 0.948 1.150 5.030
C -7.163 -9.297 -9.488
B -4.782 -7.004 -6.816
B -3.724 -4.694 -2.977
Na -16.628 -16.203 -19.057
B -6.160 -3.466 -1.851
B -2.442 -4.686 -4.056
CELL_PARAMETERS angstrom
-11.959 -8.054 -9.793
-7.054 -10.480 -12.010
8.054 8.078 13.180

***

Record 4
! Na4B5C3 (PBE-GGA, relaxed); values from VASP
! - formation energy (meV per atom) = 105.4
! - size of the total moment (Bohr magnetons per cell) = 0.00
! - final energy (eV per cell) = -130.1
! - polymorph energy (0 for the lowest one) (meV per atom) = 45
&SYSTEM
  ibrav = 0, nat = 24, ntyp = 3
/
ATOMIC_SPECIES
C 12.01 C.upf
Na 22.99 Na.upf
B 10.81 B.upf
ATOMIC_POSITIONS angstrom
C 2.765 5.551 4.648
C 0.814 1.582 3.529
Na 0.413 -0.951 2.655
C 1.219 0.648 6.136
Na -1.489 1.157 2.177
B 0.126 1.709 6.645
Na -1.076 0.206 4.832
C 4.661 3.453 5.103
Na 3.481 1.942 3.215
B 1.598 0.555 4.541
B -0.269 2.617 4.109
Na 1.579 4.051 2.736
Na 3.068 2.894 0.560
B 1.127 1.562 1.915
B 3.859 4.490 4.138
B 2.387 5.644 6.242
Na 0.000 0.000 0.000
B 2.032 6.540 3.558
Na 1.992 3.099 5.392
B 4.253 3.582 6.675
C -0.677 2.746 5.680
B 4.267 4.386 2.438
C 3.171 4.617 7.254
B -1.108 3.715 3.034
CELL_PARAMETERS angstrom
-3.390 3.266 1.697
0.826 -1.903 5.311
6.136 5.787 1.119

***

What is the size of the total moment in the fourth record? 0.00 Bohr magnetons per cell

***

The lowest polymorph energy (0 for the lowest one) belongs to which entry? Na5B8C2